No. 1
This record from Alexandria via LeMat-Bulk describes a relaxed ZnCo3I crystal. The functional is PBE.

a = 4.595 Å, b = 4.595 Å, c = 4.595 Å
α = 90.00°, β = 90.00°, γ = 90.00°
Atoms (fractional coordinates):
1 Zn 0.000 0.000 0.000
2 Co 0.000 0.500 0.500
3 Co 0.500 0.000 0.500
4 Co 0.500 0.500 0.000
5 I 0.500 0.500 0.500

Values from the calculation:
- DOS(E_F): 1.48 states/eV/atom
- Symmetry: Pm-3m (221)
- Formation energy without anion corrections: 1387.6 meV per atom


No. 2
This record from Alexandria via LeMat-Bulk describes a relaxed Mn4B2W crystal. The functional is PBE.

a = 3.327 Å, b = 12.615 Å, c = 3.378 Å
α = 90.00°, β = 90.00°, γ = 90.00°
Atoms (fractional coordinates):
1 Mn 0.000 0.177 0.000
2 Mn 0.000 0.322 0.500
3 Mn 0.000 0.678 0.500
4 Mn 0.000 0.823 0.000
5 Mn 0.500 0.178 0.500
6 Mn 0.500 0.323 0.000
7 Mn 0.500 0.677 0.000
8 Mn 0.500 0.822 0.500
9 B 0.000 0.069 0.500
10 B 0.000 0.931 0.500
11 B 0.500 0.431 0.500
12 B 0.500 0.569 0.500
13 W 0.000 0.500 0.000
14 W 0.500 0.000 0.000

Values from the calculation:
- Formation energy: -0.111 eV per atom
- DOS(E_F): 0.96 states/eV/atom
- Symmetry: Cmmm (65)


No. 3
This record from Alexandria via LeMat-Bulk describes a relaxed Cs2NbNiSe4 crystal. The functional is PBE.

a = 15.059 Å, b = 13.428 Å, c = 7.959 Å
α = 85.47°, β = 62.73°, γ = 31.80°
Atoms (fractional coordinates):
1 Cs 0.052 0.052 0.698
2 Cs 0.302 0.302 0.948
3 Cs 0.698 0.698 0.052
4 Cs 0.948 0.948 0.302
5 Nb 0.125 0.125 0.125
6 Nb 0.875 0.875 0.875
7 Ni 0.375 0.375 0.375
8 Ni 0.625 0.625 0.625
9 Se 0.014 0.341 0.421
10 Se 0.275 0.579 0.659
11 Se 0.341 0.014 0.725
12 Se 0.421 0.725 0.014
13 Se 0.579 0.275 0.986
14 Se 0.659 0.986 0.275
15 Se 0.725 0.421 0.341
16 Se 0.986 0.659 0.579

Values from the calculation:
- DOS(E_F): 0.79 states/eV/atom
- Symmetry: Fddd (70)
- Formation energy without anion corrections: -953.6 meV per atom